# Ba4As4P | Alexandria via LeMat-Bulk | PBE | relaxed
# DFT total energy ... -79.03 eV/cell
data_Ba4As4P
_chemical_formula_sum 'Ba8 As8 P2'
_space_group_name_H-M_alt 'P 42/n m c'
_space_group_IT_number 137
_cell_length_a 9.427
_cell_length_b 9.427
_cell_length_c 6.873
_cell_angle_alpha 90.00
_cell_angle_beta 90.00
_cell_angle_gamma 90.00
loop_
_space_group_symop_operation_xyz
'x,y,z'
'-x,-y,-z'
'-y+1/2,x,z+1/2'
'y+1/2,-x,-z+1/2'
'-x+1/2,-y+1/2,z'
'x+1/2,y+1/2,-z'
'y,-x+1/2,z+1/2'
'-y,x+1/2,-z+1/2'
'x+1/2,-y,-z'
'-x+1/2,y,z'
'-y,-x,-z+1/2'
'y,x,z+1/2'
'-x,y+1/2,-z'
'x,-y+1/2,z'
'y+1/2,x+1/2,-z+1/2'
'-y+1/2,-x+1/2,z+1/2'
loop_
_atom_site_label
_atom_site_type_symbol
_atom_site_fract_x
_atom_site_fract_y
_atom_site_fract_z
Ba1 Ba 0.016 0.250 0.069
As1 As 0.030 0.750 0.441
P1 P 0.250 0.750 0.250